A relaxed structure of Ba2YCdIn. Source: Alexandria, functional PBE-GGA.

Results
Spin magnetization ... 0.0 μB per formula unit
Formation energy from the elements ... 0.3294 eV/atom

a = 6.6339 Å, b = 6.6339 Å, c = 5.3091 Å
α = 90.00°, β = 90.00°, γ = 90.00°
Closest atoms and distances in Å follow each position.
Positions (direct):
Ba 0.0000 0.5000 0.0000  2 In 3.32
Ba 0.5000 0.0000 0.0000  2 In 3.32
Y 0.0000 0.0000 0.5000  8 Ba 4.25, 4 Cd 4.69
Cd 0.5000 0.5000 0.5000  2 In 2.65
In 0.5000 0.5000 0.0000  2 Cd 2.65